No. 1
Nd3Se2Cl after structural relaxation. Source: Alexandria via LeMat-Bulk, functional PBE-GGA.

Properties
energy above the most stable polymorph in this dataset	0	meV per atom
space-group type	No. 71
ρ	6.576	g/cm3
formation energy without anion corrections	-1651	meV per atom

Cell lengths 4.345, 5.921, 12.290 Å; angles 90.00, 90.00, 90.00 degrees
Element x y z (fractional)
Nd  0.000  0.000  0.000
Nd  0.000  0.000  0.320
Nd  0.000  0.000  0.680
Nd  0.500  0.500  0.180
Nd  0.500  0.500  0.500
Nd  0.500  0.500  0.820
Se  0.000  0.500  0.338
Se  0.000  0.500  0.662
Se  0.500  0.000  0.162
Se  0.500  0.000  0.838
Cl  0.000  0.500  0.000
Cl  0.500  0.000  0.500

No. 2
Nd2Se2Cl after structural relaxation. Source: Alexandria via LeMat-Bulk, functional PBE-GGA.

Properties
energy above the most stable polymorph in this dataset	0	meV per atom
space-group type	No. 12
ρ	5.194	g/cm3
formation energy without anion corrections	-1980	meV per atom

Cell lengths 7.350, 7.350, 8.344 Å; angles 109.92, 109.92, 47.42 degrees
Element x y z (fractional)
Nd  0.009  0.009  0.247
Nd  0.336  0.336  0.922
Nd  0.664  0.664  0.078
Nd  0.991  0.991  0.753
Se  0.174  0.174  0.096
Se  0.487  0.487  0.738
Se  0.513  0.513  0.262
Se  0.826  0.826  0.904
Cl  0.151  0.151  0.600
Cl  0.849  0.849  0.400

No. 3
Nd8Se6Cl after structural relaxation. Source: Alexandria via LeMat-Bulk, functional PBE-GGA.

Properties
space-group type	No. 147
ρ	6.086	g/cm3
formation energy without anion corrections	-1406	meV per atom

Cell lengths 11.013, 11.013, 4.320 Å; angles 90.00, 90.00, 120.00 degrees
Element x y z (fractional)
Nd  0.038  0.348  0.258
Nd  0.310  0.962  0.258
Nd  0.333  0.667  0.746
Nd  0.348  0.310  0.742
Nd  0.652  0.690  0.258
Nd  0.667  0.333  0.254
Nd  0.690  0.038  0.742
Nd  0.962  0.652  0.742
Se  0.136  0.655  0.245
Se  0.345  0.482  0.245
Se  0.482  0.136  0.755
Se  0.518  0.864  0.245
Se  0.655  0.518  0.755
Se  0.864  0.345  0.755
Cl  0.000  0.000  0.500